Record 1
Here is Rb2CrFeCl6 after structural relaxation from the Alexandria database. Energies are from GGA-PBE.

a b c (Å): 7.0723 7.0723 7.1953
angles (deg): 60.56 60.56 90.00
Last column: nearest neighbours and their distance in Å.
Element x y z (fractional)
1 Cr 0.5000 0.5000 0.0000  4 Cl 2.41
2 Fe 0.0000 0.0000 0.0000  6 Cl 2.33-2.60
3 Rb 0.7500 0.2500 0.5000  12 Cl 3.55-3.60
4 Rb 0.2500 0.7500 0.5000  12 Cl 3.55-3.60
5 Cl 0.2251 0.2251 0.5497  1 Fe 2.33
6 Cl 0.7749 0.7749 0.4503  1 Fe 2.33
7 Cl 0.2595 0.2595 0.0000  1 Cr 2.41, 1 Fe 2.60
8 Cl 0.7405 0.7405 0.0000  1 Cr 2.41, 1 Fe 2.60
9 Cl 0.7405 0.2595 0.0000  1 Cr 2.41, 1 Fe 2.60
10 Cl 0.2595 0.7405 0.0000  1 Cr 2.41, 1 Fe 2.60

Results
DOS(E_F)   0.499 states/eV/atom
Uncorrected formation energy   -1.27 eV per atom
SG   No. 139
Total DFT energy (no corrections)   -0.3219 Ry/atom
Magnetic moment   7.87 μB per cell

---

Record 2
Here is LiTeIr after structural relaxation from the Alexandria database. Energies are from GGA-PBE.

a b c (Å): 4.9341 3.4902 8.4044
angles (deg): 90.00 90.00 134.98
Last column: nearest neighbours and their distance in Å.
Element x y z (fractional)
1 Ir 0.6933 0.3867 0.0000  8 Te 2.93-2.94, 2 Li 3.02
2 Ir 0.1950 0.3900 0.5000  2 Te 2.62, 8 Li 2.73-2.74
3 Li 0.6947 0.3895 0.3599  1 Li 2.36
4 Li 0.6947 0.3895 0.6401  1 Li 2.36
5 Te 0.1944 0.3888 0.8119  4 Ir 2.62-2.93, 4 Li 2.86
6 Te 0.1944 0.3888 0.1881  4 Ir 2.62-2.93, 4 Li 2.86

Results
DOS(E_F)   0.382 states/eV/atom
Uncorrected formation energy   0.02 eV per atom
SG   No. 38
Offset from the most stable computed form   266 meV per atom
Total DFT energy (no corrections)   -0.3396 Ry/atom
Magnetic moment   0.00 μB per cell

---

Record 3
Here is PuCdPt after structural relaxation from the Alexandria database. Energies are from GGA-PBE.

a b c (Å): 4.1100 7.5510 12.9731
angles (deg): 90.13 90.00 90.00
Last column: nearest neighbours and their distance in Å.
Element x y z (fractional)
1 Pu 0.7500 0.5476 0.3796  5 Pt 3.01-3.08, 4 Cd 3.30-3.34
2 Pu 0.2500 0.9464 0.7153  5 Pt 3.06-3.15, 7 Cd 3.32-3.39
3 Pu 0.7500 0.0536 0.2847  5 Pt 3.06-3.15, 7 Cd 3.32-3.39
4 Pu 0.7500 0.6577 0.0841  5 Pt 2.97-3.06, 4 Cd 3.32
5 Pu 0.2500 0.4524 0.6204  5 Pt 3.01-3.08, 4 Cd 3.30-3.34
6 Pu 0.2500 0.3423 0.9159  5 Pt 2.97-3.06, 4 Cd 3.32
7 Pt 0.2500 0.7365 0.9252  5 Cd 2.80-2.90, 3 Pu 2.97-2.98
8 Pt 0.7500 0.2458 0.7500  3 Cd 2.84-2.87, 6 Pu 3.06-3.09
9 Pt 0.7500 0.7384 0.5887  4 Cd 2.83-3.02, 5 Pu 3.01-3.07
10 Pt 0.7500 0.2635 0.0748  5 Cd 2.80-2.90, 3 Pu 2.97-2.98
11 Pt 0.2500 0.2616 0.4113  4 Cd 2.83-3.02, 5 Pu 3.01-3.07
12 Pt 0.2500 0.7542 0.2500  3 Cd 2.84-2.87, 6 Pu 3.06-3.09
13 Cd 0.2500 0.0034 0.0859  4 Pt 2.84-2.90, 2 Cd 3.03
14 Cd 0.2500 0.8701 0.4581  4 Pt 2.84-3.02, 2 Cd 3.04
15 Cd 0.7500 0.6178 0.7953  4 Pt 2.80-2.87
16 Cd 0.7500 0.1299 0.5419  4 Pt 2.84-3.02, 2 Cd 3.04
17 Cd 0.2500 0.3822 0.2047  4 Pt 2.80-2.87
18 Cd 0.7500 0.9966 0.9141  4 Pt 2.84-2.90, 2 Cd 3.03

Results
DOS(E_F)   4.404 states/eV/atom
SG   No. 11
Total DFT energy (no corrections)   -0.5618 Ry/atom
Magnetic moment   10.80 μB per cell